Below is a relaxed Ce4Nd3YSe8 crystal, with properties calculated at the GGA-PBE level.

Properties
As for the uncorrected formation energy: -29.21 eV per formula unit. The volume comes out at 419 Å³/cell. The calculation puts the total magnetic moment at 3.9 μB per formula unit.

```
data_Ce4Nd3YSe8
_chemical_formula_sum 'Ce4 Nd3 Y1 Se8'
_cell_length_a 8.388
_cell_length_b 8.416
_cell_length_c 8.388
_cell_angle_alpha 119.89
_cell_angle_beta 120.00
_cell_angle_gamma 90.00
_symmetry_space_group_name_H-M 'P 1'
_symmetry_Int_Tables_number 1
loop_
_symmetry_equiv_pos_as_xyz
'x,y,z'
loop_
_atom_site_label
_atom_site_fract_x
_atom_site_fract_y
_atom_site_fract_z
Se1 0.246 0.747 0.492
Nd1 0.000 0.500 0.500
Y1 0.000 0.500 0.000
Se2 0.751 0.752 0.501
Se3 0.249 0.248 0.499
Ce1 0.000 0.000 0.500
Se4 0.755 0.748 0.001
Ce2 0.500 0.000 0.000
Ce3 0.500 0.000 0.500
Ce4 0.000 0.000 0.000
Se5 0.245 0.252 0.999
Nd2 0.500 0.500 0.500
Se6 0.754 0.252 0.999
Nd3 0.500 0.500 0.000
Se7 0.246 0.748 0.001
Se8 0.754 0.253 0.508
```